Record 1
Density functional theory data (GGA-PBE) for an optimized crystal structure of Li2PrHfSe4.

Cell lengths 3.9613, 6.9619, 6.9295 Å; angles 109.07, 90.00, 90.00 degrees
Sites, in units of the cell vectors:
Se 0.5000 0.7215 0.7384
Se 0.0000 0.2724 0.7511
Se 0.5000 0.2785 0.2616
Se 0.0000 0.7276 0.2489
Li 0.0000 0.5000 0.5000
Li 0.5000 0.0000 0.5000
Hf 0.5000 0.5000 0.0000
Pr 0.0000 0.0000 0.0000

Computed properties:
Raw total energy   -0.4032 Ry per atom
Formation energy from raw total energies   -1424 meV per atom
Theoretical density   6.0 g/cm3

=====

Record 2
Density functional theory data (GGA-PBE) for an optimized crystal structure of Rb2NiAu.

Cell lengths 5.9094, 5.9094, 5.9094 Å; angles 60.00, 60.00, 60.00 degrees
Each line ends with the local moment (μB).
Sites, in units of the cell vectors:
Ni 0.0000 0.0000 0.0000  0.95
Rb 0.2500 0.2500 0.2500  0.00
Rb 0.7500 0.7500 0.7500  0.00
Au 0.5000 0.5000 0.5000  0.02

Computed properties:
Raw total energy   -0.1682 Ry per atom
Theoretical density   4.9 g/cm3

=====

Record 3
Density functional theory data (GGA-PBE) for an optimized crystal structure of PmAsPd2Pt2.

Cell lengths 4.1686, 4.1686, 9.0695 Å; angles 103.29, 103.29, 90.00 degrees
Sites, in units of the cell vectors:
Pt 0.3419 0.3419 0.6838
Pt 0.6581 0.6581 0.3162
As 0.0000 0.0000 0.0000
Pd 0.2500 0.7500 0.5000
Pd 0.7500 0.2500 0.5000
Pm 0.5000 0.5000 0.0000

Computed properties:
Raw total energy   -0.3694 Ry per atom
Theoretical density   9.2 g/cm3

=====

Record 4
Density functional theory data (GGA-PBE) for an optimized crystal structure of BaMg2N.

Cell lengths 6.7341, 6.7341, 6.7222 Å; angles 59.94, 59.94, 90.00 degrees
Sites, in units of the cell vectors:
Ba 0.0000 0.0000 0.0000
Ba 0.7500 0.2500 0.5000
N 0.5000 0.5000 0.0000
N 0.2500 0.7500 0.5000
Mg 0.8750 0.6246 0.7500
Mg 0.3746 0.1250 0.2500
Mg 0.3754 0.6250 0.2500
Mg 0.3750 0.6254 0.7500

Computed properties:
Raw total energy   -0.2563 Ry per atom
Formation energy from raw total energies   -128 meV per atom
Theoretical density   3.1 g/cm3

=====

Record 5
Density functional theory data (GGA-PBE) for an optimized crystal structure of AcPm2DyY.

Cell lengths 7.3354, 8.5099, 7.4296 Å; angles 124.94, 90.00, 90.00 degrees
Sites, in units of the cell vectors:
Y 0.2500 0.0430 0.0860
Y 0.7500 0.9570 0.9140
Ac 0.2500 0.7541 0.5082
Ac 0.7500 0.2459 0.4918
Pm 0.0000 0.3073 0.0000
Pm 0.5000 0.3073 0.0000
Pm 0.5000 0.6927 0.0000
Pm 0.0000 0.6927 0.0000
Dy 0.7500 0.6983 0.3965
Dy 0.2500 0.3017 0.6035

Computed properties:
Raw total energy   -0.3366 Ry per atom
Theoretical density   6.7 g/cm3

=====

Record 6
Density functional theory data (GGA-PBE) for an optimized crystal structure of Tb3Er5S8.

Cell lengths 7.7738, 7.7738, 7.7794 Å; angles 60.02, 60.02, 60.00 degrees
Sites, in units of the cell vectors:
S 0.7457 0.2500 0.7543
S 0.7500 0.7500 0.2457
S 0.2543 0.7500 0.2457
S 0.7478 0.7478 0.7565
S 0.7500 0.2543 0.2457
S 0.2500 0.7457 0.7543
S 0.2522 0.2522 0.2435
S 0.2500 0.2500 0.7543
Er 0.5000 0.5000 0.5000
Er 0.0000 0.5000 0.0000
Er 0.0000 0.0000 0.0000
Er 0.5000 0.0000 0.0000
Er 0.5000 0.5000 0.0000
Tb 0.0000 0.5000 0.5000
Tb 0.5000 0.0000 0.5000
Tb 0.0000 0.0000 0.5000

Computed properties:
Raw total energy   -0.4652 Ry per atom
Formation energy from raw total energies   -1971 meV per atom
Theoretical density   7.8 g/cm3

=====

Record 7
Density functional theory data (GGA-PBE) for an optimized crystal structure of YAg2GeMo.

Cell lengths 4.7722, 4.8731, 4.7722 Å; angles 90.00, 90.00, 90.00 degrees
Sites, in units of the cell vectors:
Ge 0.0000 0.0000 0.0000
Y 0.5000 0.5000 0.5000
Ag 0.5000 0.0000 0.0000
Ag 0.0000 0.0000 0.5000
Mo 0.0000 0.5000 0.0000

Computed properties:
Raw total energy   -0.3737 Ry per atom
Theoretical density   7.1 g/cm3

=====

Record 8
Density functional theory data (GGA-PBE) for an optimized crystal structure of Tl2NiAs.

Cell lengths 5.2160, 5.2160, 3.2529 Å; angles 90.00, 90.00, 103.32 degrees
Sites, in units of the cell vectors:
As 0.5000 0.0000 0.5000
Ni 0.0000 0.5000 0.5000
Tl 0.5000 0.5000 0.0000
Tl 0.0000 0.0000 0.0000

Computed properties:
Offset from the most stable computed form   0.5535 eV per atom
Raw total energy   -0.2440 Ry per atom
Theoretical density   10.5 g/cm3

=====

Record 9
Density functional theory data (GGA-PBE) for an optimized crystal structure of Mg2InRu.

Cell lengths 5.2727, 5.2727, 5.2727 Å; angles 135.04, 135.04, 65.46 degrees
Sites, in units of the cell vectors:
Mg 0.5000 0.5000 0.0000
Mg 0.0000 0.0000 0.0000
In 0.7500 0.2500 0.5000
Ru 0.2500 0.7500 0.5000

Computed properties:
Raw total energy   -0.2819 Ry per atom
Theoretical density   6.1 g/cm3

=====

Record 10
Density functional theory data (GGA-PBE) for an optimized crystal structure of BeAl2Ga.

Cell lengths 7.8716, 7.8716, 5.9998 Å; angles 49.01, 49.01, 90.00 degrees
Sites, in units of the cell vectors:
Al 0.8750 0.7804 0.7500
Al 0.3750 0.4696 0.7500
Al 0.2196 0.6250 0.2500
Al 0.5304 0.1250 0.2500
Ga 0.0000 0.0000 0.0000
Ga 0.7500 0.2500 0.5000
Be 0.2500 0.7500 0.5000
Be 0.5000 0.5000 0.0000

Computed properties:
Raw total energy   -0.2385 Ry per atom
Theoretical density   3.2 g/cm3

=====

Record 11
Density functional theory data (GGA-PBE) for an optimized crystal structure of Ba6Hg2PtO.

Cell lengths 8.2654, 8.2683, 11.7408 Å; angles 90.00, 90.00, 90.00 degrees
Sites, in units of the cell vectors:
Ba 0.7381 0.0125 0.5000
Ba 0.0000 0.7496 0.7617
Ba 0.2385 0.5133 0.0000
Ba 0.0000 0.7496 0.2383
Ba 0.5000 0.2504 0.7383
Ba 0.7385 0.4867 0.5000
Ba 0.2619 0.0125 0.5000
Ba 0.7615 0.5133 0.0000
Ba 0.5000 0.2504 0.2617
Ba 0.7619 0.9875 0.0000
Ba 0.2615 0.4867 0.5000
Ba 0.2381 0.9875 0.0000
Hg 0.5000 0.7505 0.2452
Hg 0.0000 0.2495 0.2548
Hg 0.0000 0.2495 0.7452
Hg 0.5000 0.7505 0.7548
O 0.0000 0.7500 0.0000
O 0.5000 0.2500 0.5000
Pt 0.5000 0.2502 0.0000
Pt 0.0000 0.7498 0.5000

Computed properties:
Raw total energy   -0.2264 Ry per atom
Formation energy from raw total energies   -766 meV per atom
Theoretical density   5.9 g/cm3

=====

Record 12
Density functional theory data (GGA-PBE) for an optimized crystal structure of VPd2Au8.

Cell lengths 4.3293, 6.9287, 6.9287 Å; angles 105.72, 90.00, 90.00 degrees
Each line ends with the local moment (μB).
Sites, in units of the cell vectors:
Au 0.5000 0.2406 0.7594  0.01
Au 0.5000 0.7594 0.2406  0.01
Au 0.5001 0.3290 0.3290  0.01
Au 0.0001 0.2991 0.0385  0.01
Au 0.4999 0.6710 0.6710  0.01
Au 0.9999 0.9615 0.7009  0.01
Au 0.0001 0.0385 0.2991  0.01
Au 0.9999 0.7009 0.9615  0.01
Pd 0.0000 0.3796 0.6204  0.00
Pd 0.0000 0.6204 0.3796  0.00
V 0.5000 0.0000 0.0000  2.13

Computed properties:
Raw total energy   -0.3029 Ry per atom
Theoretical density   15.3 g/cm3